*one*
Entry from the Alexandria database: a relaxed structure of NaIn2SnH (PBE).

Values from the calculation:
V: 21.544 Å³ per atom
space group: P4/mmm
total magnetic moment: 0.0 μB per formula unit

abc: 4.8362 4.8362 4.6058
angles: 90.00 90.00 90.00
Sites, in units of the cell vectors:
Na  0.0000  0.0000  0.0000
In  0.0000  0.5000  0.5000
In  0.5000  0.0000  0.5000
Sn  0.5000  0.5000  0.0000
H  0.0000  0.0000  0.5000

***

*two*
Entry from the Alexandria database: a relaxed structure of NaIn2SnH (PBE).

Values from the calculation:
V: 25.655 Å³ per atom
space group: P4/mmm
total magnetic moment: 0.0 μB per formula unit

abc: 5.9202 5.9202 3.6599
angles: 90.00 90.00 90.00
Sites, in units of the cell vectors:
Na  0.0000  0.0000  0.0000
In  0.0000  0.5000  0.0000
In  0.5000  0.0000  0.0000
Sn  0.5000  0.5000  0.5000
H  0.0000  0.0000  0.5000

***

Most stable structure: *one*

***

*one*
Entry from the Alexandria database: a relaxed structure of Na2SrInH (PBE).

Values from the calculation:
V: 32.022 Å³ per atom
space group: P4/mmm
total magnetic moment: 0.0 μB per formula unit

abc: 6.3292 6.3292 3.9969
angles: 90.00 90.00 90.00
Sites, in units of the cell vectors:
Na  0.0000  0.5000  0.0000
Na  0.5000  0.0000  0.0000
Sr  0.0000  0.0000  0.5000
In  0.5000  0.5000  0.0000
H  0.5000  0.5000  0.5000

***

*two*
Entry from the Alexandria database: a relaxed structure of Na2SrInH (PBE).

Values from the calculation:
V: 25.758 Å³ per atom
space group: P4/mmm
total magnetic moment: 0.0 μB per formula unit

abc: 5.0148 5.0148 5.1212
angles: 90.00 90.00 90.00
Sites, in units of the cell vectors:
Na  0.0000  0.5000  0.0000
Na  0.5000  0.0000  0.0000
Sr  0.0000  0.0000  0.5000
In  0.5000  0.5000  0.5000
H  0.0000  0.0000  0.0000

***

Most stable structure: *two*

***

*one*
Entry from the Alexandria database: a relaxed structure of Nb2In2H (PBE).

Values from the calculation:
V: 20.954 Å³ per atom
space group: I4/mmm
total magnetic moment: 0.0 μB per formula unit

abc: 3.6877 3.6877 15.4085
angles: 90.00 90.00 90.00
Sites, in units of the cell vectors:
Nb  0.0000  0.5000  0.2500
Nb  0.0000  0.5000  0.7500
Nb  0.5000  0.0000  0.2500
Nb  0.5000  0.0000  0.7500
In  0.0000  0.0000  0.0895
In  0.0000  0.0000  0.9105
In  0.5000  0.5000  0.4105
In  0.5000  0.5000  0.5895
H  0.0000  0.0000  0.5000
H  0.5000  0.5000  0.0000

***

*two*
Entry from the Alexandria database: a relaxed structure of Nb2In2H (PBE).

Values from the calculation:
V: 21.570 Å³ per atom
space group: P4/mbm
total magnetic moment: 0.0 μB per formula unit

abc: 7.9096 7.9096 3.4477
angles: 90.00 90.00 90.00
Sites, in units of the cell vectors:
Nb  0.1063  0.3937  0.0000
Nb  0.3937  0.8937  0.0000
Nb  0.6063  0.1063  0.0000
Nb  0.8937  0.6063  0.0000
In  0.1913  0.6913  0.5000
In  0.3087  0.1913  0.5000
In  0.6913  0.8087  0.5000
In  0.8087  0.3087  0.5000
H  0.0000  0.0000  0.5000
H  0.5000  0.5000  0.5000

***

*three*
Entry from the Alexandria database: a relaxed structure of Nb2In2H (PBE).

Values from the calculation:
V: 17.571 Å³ per atom
space group: P4/mbm
total magnetic moment: 0.0 μB per formula unit

abc: 5.9458 5.9458 4.9703
angles: 90.00 90.00 90.00
Sites, in units of the cell vectors:
Nb  0.1579  0.3421  0.0000
Nb  0.3421  0.8421  0.0000
Nb  0.6579  0.1579  0.0000
Nb  0.8421  0.6579  0.0000
In  0.1693  0.6693  0.5000
In  0.3307  0.1693  0.5000
In  0.6693  0.8307  0.5000
In  0.8307  0.3307  0.5000
H  0.0000  0.0000  0.0000
H  0.5000  0.5000  0.0000

***

Most stable structure: *three*